Record 1
Density functional theory data (PBE-GGA) for a geometry-optimized NpIn2Pb structure.

The space group is Fm-3m (No. 225) and the conventional cell measures 7.6470, 7.6470 and 7.6470 Å, with angles of 90.00, 90.00 and 90.00 degrees. The asymmetric unit holds Np at (0.0000, 0.0000, 0.0000), In at (0.2500, 0.2500, 0.2500) and Pb at (0.0000, 0.0000, 0.5000).

Its total energy is -84.26 eV per cell. As for the energy above the most stable polymorph in this dataset: 237.5 meV per atom. For the density of states at the Fermi level, the calculation gives 2.727 states/eV per atom.

Record 2
Density functional theory data (PBE-GGA) for a geometry-optimized SrZn2Ge structure.

The space group is P4/nmm (No. 129, origin choice 2) and the conventional cell measures 4.2802, 4.2802 and 9.9941 Å, with angles of 90.00, 90.00 and 90.00 degrees. The asymmetric unit holds Sr at (0.2500, 0.2500, 0.2420), Zn at (0.2500, 0.2500, 0.9324), Zn at (0.2500, 0.7500, 0.5000) and Ge at (0.2500, 0.2500, 0.6541).

Its total energy is -19.96 eV per cell. For the density of states at the Fermi level, the calculation gives 0.217 states/eV per atom.

Record 3
Density functional theory data (PBE-GGA) for a geometry-optimized BeCrRh2 structure.

The space group is Cmm2 (No. 35) and the conventional cell measures 2.8137, 4.4015 and 8.0887 Å, with angles of 90.00, 90.00 and 90.00 degrees. The asymmetric unit holds Be at (0.0000, 0.0000, 0.0000), Cr at (0.0000, 0.5000, 0.2345), Rh at (0.0000, 0.0000, 0.4866) and Rh at (0.0000, 0.5000, 0.7844).

Its total energy is -55.25 eV per cell. For the density of states at the Fermi level, the calculation gives 1.102 states/eV per atom.

Record 4
Density functional theory data (PBE-GGA) for a geometry-optimized MgW2Br structure.

The space group is Imm2 (No. 44) and the conventional cell measures 3.1758, 4.8880 and 11.6879 Å, with angles of 90.00, 90.00 and 90.00 degrees. The asymmetric unit holds Mg at (0.0000, 0.0000, 0.0000), W at (0.0000, 0.0000, 0.4664), W at (0.0000, 0.5000, 0.1237) and Br at (0.0000, 0.5000, 0.7622).

Its total energy is -51.69 eV per cell. As for the energy above the most stable polymorph in this dataset: 548.3 meV per atom. For the density of states at the Fermi level, the calculation gives 0.858 states/eV per atom.

Record 5
Density functional theory data (PBE-GGA) for a geometry-optimized CaOsPt2 structure.

The space group is I-42d (No. 122) and the conventional cell measures 4.9198, 4.9198 and 16.6997 Å, with angles of 90.00, 90.00 and 90.00 degrees. The asymmetric unit holds Ca at (0.0000, 0.0000, 0.0000), Os at (0.0000, 0.0000, 0.5000) and Pt at (0.0833, 0.2500, 0.6250).

Its total energy is -96.73 eV per cell. As for the energy above the most stable polymorph in this dataset: 447.5 meV per atom. For the density of states at the Fermi level, the calculation gives 1.031 states/eV per atom.

Record 6
Density functional theory data (PBE-GGA) for a geometry-optimized Tb6PmSm2Dy structure.

The space group is C2/c (No. 15) and the conventional cell measures 9.0496, 15.1052 and 9.7557 Å, with angles of 90.00, 99.04 and 90.00 degrees. The asymmetric unit holds Tb at (0.0656, 0.1884, 0.4433), Tb at (0.1035, 0.3959, 0.6213), Tb at (0.1988, 0.2244, 0.8150), Pm at (0.0000, 0.4058, 0.2500), Sm at (0.2419, 0.0516, 0.0418) and Dy at (0.0000, 0.0193, 0.7500).

Its total energy is -181.46 eV per cell. For the density of states at the Fermi level, the calculation gives 1.493 states/eV per atom.

Record 7
Density functional theory data (PBE-GGA) for a geometry-optimized Cs3Er2TmTe6 structure.

The space group is C2/m (No. 12) and the conventional cell measures 7.8298, 13.5615 and 9.2829 Å, with angles of 90.00, 106.33 and 90.00 degrees. The asymmetric unit holds Cs at (0.0000, 0.0000, 0.0000), Cs at (0.0000, 0.3331, 0.0000), Er at (0.0000, 0.1666, 0.5000), Tm at (0.0000, 0.5000, 0.5000), Te at (0.2288, 0.3338, 0.6879) and Te at (0.2303, 0.0000, 0.6880).

Its total energy is -102.79 eV per cell. For the density of states at the Fermi level, the calculation gives 0.000 states/eV per atom.

Record 8
Density functional theory data (PBE-GGA) for a geometry-optimized CsRb2DyCl6 structure.

The space group is P2_1/c (No. 14) and the conventional cell measures 7.9052, 8.3844 and 13.6803 Å, with angles of 90.00, 124.53 and 90.00 degrees. The asymmetric unit holds Cs at (0.0000, 0.0000, 0.0000), Rb at (0.2142, 0.0700, 0.7423), Dy at (0.5000, 0.0000, 0.5000), Cl at (0.1739, 0.1705, 0.4427), Cl at (0.2629, 0.7399, 0.4157) and Cl at (0.4220, 0.0651, 0.2876).

Its total energy is -79.82 eV per cell. For the density of states at the Fermi level, the calculation gives 0.000 states/eV per atom.